The following is a DFT calculation (PBE) of a relaxed structure of Cs3Rb2USe6.

```
12
Lattice="-7.2378 3.1210 -2.8785 -0.1006 -5.3902 6.4302 3.0581 6.8781 3.9441" Properties=species:S:1:pos:R:3 pbc="T T T"
Cs 0.1685 -0.4487 6.7590
Cs -4.4488 5.0575 0.7368
Cs -2.1401 2.3044 3.7479
Rb -2.4900 -2.5408 3.3138
Rb -4.8484 0.2716 0.2378
Se -4.3777 4.8455 4.7847
Se 1.0321 5.0780 3.8516
Se -5.3124 -0.4691 3.6442
Se 0.0974 -0.2367 2.7111
Se -2.4784 2.5806 7.2619
Se -1.8019 2.0283 0.2339
U 0.0000 0.0000 0.0000
```

Output
As for the raw formation energy: -13.5 eV/f.u.

---

The following is a DFT calculation (PBE) of a relaxed structure of La4IrBrCl2.

```
8
Lattice="-3.3723 2.2511 -0.8179 -3.0859 -2.1250 6.8748 3.8607 6.1317 0.9580" Properties=species:S:1:pos:R:3 pbc="T T T"
Cl 0.3874 2.0033 3.9164
Cl 0.2442 4.1914 0.0700
La 2.1093 4.1386 2.6938
La -1.0610 4.1311 5.2858
La -1.3345 -0.1319 5.1389
La -1.5364 2.1267 1.7291
Ir -3.2291 0.0631 3.0285
Br 0.0000 0.0000 0.0000
```

Output
As for the raw formation energy: -10.8 eV/f.u.

---

The following is a DFT calculation (PBE) of a relaxed structure of InWBr2.

```
4
Lattice="3.4204 -0.0002 0.0000 -1.9623 2.8015 0.0000 0.0000 0.0000 10.3177" Properties=species:S:1:pos:R:3 pbc="T T T"
In 0.7290 1.4006 2.5794
Br 0.0000 0.0000 5.6712
Br 0.0000 0.0000 9.8053
W 0.7290 1.4006 7.7382
```

Output
As for the raw formation energy: 1.7 eV/f.u. The value obtained for the energy above the most stable polymorph in this dataset is 292.0 meV per atom.

---

The following is a DFT calculation (PBE) of a relaxed structure of ReMo2Pb.

```
4
Lattice="4.6038 0.0000 0.0000 2.3019 3.9870 0.0000 2.3019 1.3290 3.7590" Properties=species:S:1:pos:R:3 pbc="T T T"
Re 2.3019 1.3290 0.9398
Pb 4.6038 2.6580 1.8795
Mo 0.0000 0.0000 0.0000
Mo 6.9057 3.9870 2.8193
```

Output
Its energy relative to the elements is 0.72 eV/atom.

---

The following is a DFT calculation (PBE) of a relaxed structure of K4TaSb.

```
6
Lattice="0.2382 -6.1734 2.7277 -5.6845 -3.5545 0.8118 -1.1615 -5.4343 -3.8375" Properties=species:S:1:pos:R:3 pbc="T T T"
K -5.3105 -7.4637 0.2920
K -2.4819 -5.6949 -0.1119
K -2.3634 -8.7668 1.2453
K -3.0599 -8.3991 -2.0215
Ta 0.0000 0.0000 0.0000
Sb -4.9559 -11.3717 -0.2235
```

Output
As for the raw formation energy: 6.2 eV/f.u.

---

The following is a DFT calculation (PBE) of a relaxed structure of Ca3MnBe.

```
5
Lattice="5.3841 0.0000 0.0000 0.0000 5.3841 0.0000 0.0000 0.0000 5.3841" Properties=species:S:1:pos:R:3 pbc="T T T"
Ca 0.0000 2.6920 0.0000
Ca 2.6920 0.0000 0.0000
Ca 0.0000 0.0000 2.6920
Mn 2.6920 2.6920 2.6920
Be 0.0000 0.0000 0.0000
```

Output
The value obtained for the energy above the most stable polymorph in this dataset is 58.9 meV per atom. Its energy relative to the elements is 1.08 eV/atom.